No. 1
Y2AlSb: relaxed, PBE.

Unit cell a=4.165 b=4.432 c=11.239 alpha=90.00 beta=90.00 gamma=90.00
Space group Amm2 (No. 38)
Symmetry-distinct sites (fractional):
Y  0.000  0.000  0.000
Y  0.500  0.000  0.280
Al  0.000  0.000  0.734
Sb  0.500  0.000  0.561

E_form (uncorrected): -0.751 eV/atom
calculated density: 5.23 g cm⁻³
relative energy among the computed polymorphs: 0 kJ/mol of formula units

No. 2
Ca2TcSe: relaxed, PBE.

Unit cell a=6.655 b=7.662 c=3.570 alpha=90.00 beta=90.00 gamma=90.00
Space group Cmmm (No. 65)
Symmetry-distinct sites (fractional):
Ca  0.250  0.250  0.000
Tc  0.000  0.000  0.500
Se  0.000  0.500  0.500

E_form (uncorrected): -0.123 eV/atom
calculated density: 4.69 g cm⁻³

No. 3
La2CoCuC: relaxed, PBE.

Unit cell a=5.298 b=5.298 c=3.635 alpha=90.00 beta=90.00 gamma=90.00
Space group P4/mmm (No. 123)
Symmetry-distinct sites (fractional):
La  0.000  0.500  0.000
Co  0.000  0.000  0.500
Cu  0.500  0.500  0.500
C  0.000  0.000  0.000

formation enthalpy at 0 K: -1.0 eV per formula unit
calculated density: 6.71 g cm⁻³

No. 4
Er2IrPbO8: relaxed, PBE.

Unit cell a=6.949 b=7.106 c=6.798 alpha=90.00 beta=90.00 gamma=90.00
Space group Cmmm (No. 65)
Symmetry-distinct sites (fractional):
Er  0.000  0.000  0.249
Ir  0.000  0.500  0.000
Pb  0.000  0.500  0.500
O  0.000  0.316  0.216
O  0.192  0.000  0.500
O  0.226  0.000  0.000

E_form (uncorrected): -1.909 eV/atom
calculated density: 8.53 g cm⁻³

No. 5
LaTb2Th: relaxed, PBE.

Unit cell a=3.614 b=3.614 c=10.201 alpha=90.00 beta=90.00 gamma=90.00
Space group P4/mmm (No. 123)
Symmetry-distinct sites (fractional):
La  0.000  0.000  0.000
Tb  0.500  0.500  0.264
Th  0.000  0.000  0.500

formation enthalpy at 0 K: 0.1 eV per formula unit
calculated density: 8.58 g cm⁻³
relative energy among the computed polymorphs: 1 kJ/mol of formula units

No. 6
Y8Cd2Pd: relaxed, PBE.

Unit cell a=17.890 b=5.305 c=6.957 alpha=90.00 beta=108.15 gamma=90.00
Space group C2/m (No. 12)
Symmetry-distinct sites (fractional):
Y  0.022  0.000  0.279
Y  0.091  0.500  0.938
Y  0.155  0.500  0.459
Y  0.200  0.000  0.799
Cd  0.184  0.000  0.217
Pd  0.000  0.500  0.500

formation enthalpy at 0 K: -2.6 eV per formula unit
calculated density: 5.52 g cm⁻³

No. 7
BaSb2TeO: relaxed, PBE.

Unit cell a=4.921 b=4.921 c=5.365 alpha=90.00 beta=90.00 gamma=90.00
Space group P4/mmm (No. 123)
Symmetry-distinct sites (fractional):
Ba  0.000  0.000  0.000
Sb  0.000  0.500  0.500
Te  0.500  0.500  0.000
O  0.500  0.500  0.500

E_form (uncorrected): -0.557 eV/atom
calculated density: 6.70 g cm⁻³
relative energy among the computed polymorphs: 0 kJ/mol of formula units

No. 8
Rb5Sn3Cl12: relaxed, PBE.

Unit cell a=18.998 b=18.998 c=18.998 alpha=90.00 beta=90.00 gamma=90.00
Space group Ia-3d (No. 230)
Symmetry-distinct sites (fractional):
Rb  0.000  0.000  0.000
Rb  0.000  0.250  0.375
Sn  0.000  0.250  0.125
Cl  0.026  0.045  0.338

E_form (uncorrected): -1.363 eV/atom
calculated density: 2.34 g cm⁻³